CeH2Br: optimized geometry, PBE.

Lattice parameters (Å, degrees): 3.9346 3.9346 10.8436 90.00 90.00 120.00
Atoms (fractional coordinates):
Ce 0.6667 0.3333 0.6545
Ce 0.3333 0.6667 0.3455
H 0.3333 0.6667 0.5632
H 0.6667 0.3333 0.4368
H 0.0000 0.0000 0.3639
H 0.0000 0.0000 0.6361
Br 0.6667 0.3333 0.1618
Br 0.3333 0.6667 0.8382

Values from the calculation:
Volume   145.4 Å³ per cell
Energy above the most stable polymorph in this dataset   0 meV/atom
Fermi-level density of states   11.6 states/eV per cell

KRbP: optimized geometry, PBE.

Lattice parameters (Å, degrees): 4.6377 8.6590 7.5036 76.24 108.00 105.54
Atoms (fractional coordinates):
K 0.6376 0.0900 0.1475
K 0.2225 0.4608 0.9455
Rb 0.9988 0.5455 0.4139
Rb 0.8614 0.0053 0.6791
P 0.5156 0.3036 0.6893
P 0.3445 0.2472 0.4037

Values from the calculation:
Volume   272.1 Å³ per cell
Energy above the most stable polymorph in this dataset   0 meV/atom
Fermi-level density of states   3.5 states/eV per cell

RbMgGe: optimized geometry, PBE.

Lattice parameters (Å, degrees): 4.9466 4.9462 8.0035 93.24 93.01 100.68
Atoms (fractional coordinates):
Rb 0.7610 0.2624 0.6378
Rb 0.2390 0.7376 0.3622
Mg 0.7954 0.7052 0.0003
Mg 0.2046 0.2948 0.9997
Ge 0.3193 0.8182 0.8572
Ge 0.6807 0.1818 0.1428

Values from the calculation:
Volume   191.7 Å³ per cell
Energy above the most stable polymorph in this dataset   37 meV/atom
Fermi-level density of states   0.2 states/eV per cell

Rb5HgPdO2: optimized geometry, PBE.

Lattice parameters (Å, degrees): 5.7681 5.7681 9.7453 90.00 90.00 90.00
Atoms (fractional coordinates):
Rb 0.0000 0.0000 0.5000
Rb 0.0000 0.5000 0.7931
Rb 0.5000 0.0000 0.2069
Rb 0.0000 0.5000 0.2069
Rb 0.5000 0.0000 0.7931
Hg 0.5000 0.5000 0.5000
Pd 0.0000 0.0000 0.0000
O 0.0000 0.0000 0.2080
O 0.0000 0.0000 0.7920

Values from the calculation:
Volume   324.2 Å³ per cell
Uncorrected formation energy   -0.63 eV per atom
Fermi-level density of states   9.7 states/eV per cell

Tb5Pr8Dy: optimized geometry, PBE.

Lattice parameters (Å, degrees): 8.6411 8.6411 8.6411 111.00 106.45 111.00
Atoms (fractional coordinates):
Tb 0.0330 0.3114 0.1302
Tb 0.8698 0.9028 0.1812
Tb 0.8188 0.6886 0.7216
Tb 0.5000 0.0000 0.5000
Tb 0.2784 0.0972 0.9670
Pr 0.1660 0.7320 0.0726
Pr 0.9274 0.0934 0.6594
Pr 0.7331 0.2595 0.3369
Pr 0.6631 0.3962 0.9226
Pr 0.5264 0.6038 0.2669
Pr 0.5660 0.9066 0.8340
Pr 0.3406 0.2680 0.4340
Pr 0.0774 0.7405 0.4736
Dy 0.2500 0.5000 0.7500

Values from the calculation:
Volume   495.7 Å³ per cell
Electronic total energy   -62.5 eV/cell
Fermi-level density of states   20.8 states/eV per cell

KGa2PbSe: optimized geometry, PBE.

Lattice parameters (Å, degrees): 5.3642 5.9517 5.3642 90.00 90.00 90.00
Atoms (fractional coordinates):
Pb 0.0000 0.5000 0.0000
K 0.5000 0.5000 0.5000
Ga 0.0000 0.0000 0.5000
Ga 0.5000 0.0000 0.0000
Se 0.0000 0.0000 0.0000

Values from the calculation:
Volume   171.3 Å³ per cell
Uncorrected formation energy   0.12 eV per atom
Fermi-level density of states   3.2 states/eV per cell

Please write out number 3 again, unchanged.
RbMgGe: optimized geometry, PBE.

Lattice parameters (Å, degrees): 4.9466 4.9462 8.0035 93.24 93.01 100.68
Atoms (fractional coordinates):
Rb 0.7610 0.2624 0.6378
Rb 0.2390 0.7376 0.3622
Mg 0.7954 0.7052 0.0003
Mg 0.2046 0.2948 0.9997
Ge 0.3193 0.8182 0.8572
Ge 0.6807 0.1818 0.1428

Values from the calculation:
Volume   191.7 Å³ per cell
Energy above the most stable polymorph in this dataset   37 meV/atom
Fermi-level density of states   0.2 states/eV per cell

Repeat the first record exactly.
CeH2Br: optimized geometry, PBE.

Lattice parameters (Å, degrees): 3.9346 3.9346 10.8436 90.00 90.00 120.00
Atoms (fractional coordinates):
Ce 0.6667 0.3333 0.6545
Ce 0.3333 0.6667 0.3455
H 0.3333 0.6667 0.5632
H 0.6667 0.3333 0.4368
H 0.0000 0.0000 0.3639
H 0.0000 0.0000 0.6361
Br 0.6667 0.3333 0.1618
Br 0.3333 0.6667 0.8382

Values from the calculation:
Volume   145.4 Å³ per cell
Energy above the most stable polymorph in this dataset   0 meV/atom
Fermi-level density of states   11.6 states/eV per cell

Please write out number 4 again, unchanged.
Rb5HgPdO2: optimized geometry, PBE.

Lattice parameters (Å, degrees): 5.7681 5.7681 9.7453 90.00 90.00 90.00
Atoms (fractional coordinates):
Rb 0.0000 0.0000 0.5000
Rb 0.0000 0.5000 0.7931
Rb 0.5000 0.0000 0.2069
Rb 0.0000 0.5000 0.2069
Rb 0.5000 0.0000 0.7931
Hg 0.5000 0.5000 0.5000
Pd 0.0000 0.0000 0.0000
O 0.0000 0.0000 0.2080
O 0.0000 0.0000 0.7920

Values from the calculation:
Volume   324.2 Å³ per cell
Uncorrected formation energy   -0.63 eV per atom
Fermi-level density of states   9.7 states/eV per cell

The lowest volume belongs to which entry?
CeH2Br